No. 1
Computed, not measured: Y2PaNi3 after structural relaxation at the GGA-PBE level of DFT.

Summary:
As for the crystal system: orthorhombic. For the volume, the calculation gives 121.38 Å³/f.u.

The structure in CIF format:
```
data_Y2PaNi3
_space_group_name_H-M_alt 'P n m a'
_space_group_IT_number 62
_cell_length_a 6.7652
_cell_length_b 3.6637
_cell_length_c 19.5890
_cell_angle_alpha 90.00
_cell_angle_beta 90.00
_cell_angle_gamma 90.00
loop_
_space_group_symop_operation_xyz
'x,y,z'
'-x,-y,-z'
'-x+1/2,-y,z+1/2'
'x+1/2,y,-z+1/2'
'x+1/2,-y+1/2,-z+1/2'
'-x+1/2,y+1/2,z+1/2'
'-x,y+1/2,-z'
'x,-y+1/2,z'
loop_
_atom_site_label
_atom_site_fract_x
_atom_site_fract_y
_atom_site_fract_z
_atom_site_occupancy
Y1 0.0493 0.2500 0.2371 1
Y2 0.0549 0.2500 0.4138 1
Pa1 0.0678 0.7500 0.0831 1
Ni1 0.1614 0.2500 0.6752 1
Ni2 0.2285 0.2500 0.9984 1
Ni3 0.2373 0.2500 0.8246 1
```



No. 2
Computed, not measured: Y2PaNi after structural relaxation at the GGA-PBE level of DFT.

Summary:
As for the crystal system: trigonal. For the volume, the calculation gives 100.71 Å³/f.u.

The structure in CIF format:
```
data_Y2PaNi
_space_group_name_H-M_alt 'R -3 m'
_space_group_IT_number 166
_space_group_name_Hall '-R 3 2"'
_cell_length_a 3.3334
_cell_length_b 3.3334
_cell_length_c 31.3957
_cell_angle_alpha 90.00
_cell_angle_beta 90.00
_cell_angle_gamma 120.00
loop_
_atom_site_label
_atom_site_fract_x
_atom_site_fract_y
_atom_site_fract_z
_atom_site_occupancy
Y1 0.0000 0.0000 0.1047 1
Pa1 0.0000 0.0000 0.0000 1
Ni1 0.0000 0.0000 0.5000 1
```



No. 3
Computed, not measured: YPa2Ni9 after structural relaxation at the GGA-PBE level of DFT.

Summary:
As for the crystal system: trigonal. For the volume, the calculation gives 171.88 Å³/f.u.

The structure in CIF format:
```
data_YPa2Ni9
_space_group_name_H-M_alt 'R -3 m'
_space_group_IT_number 166
_space_group_name_Hall '-R 3 2"'
_cell_length_a 4.9177
_cell_length_b 4.9177
_cell_length_c 24.6201
_cell_angle_alpha 90.00
_cell_angle_beta 90.00
_cell_angle_gamma 120.00
loop_
_atom_site_label
_atom_site_fract_x
_atom_site_fract_y
_atom_site_fract_z
_atom_site_occupancy
Y1 0.0000 0.0000 0.0000 1
Pa1 0.0000 0.0000 0.1394 1
Ni1 0.0000 0.0000 0.3330 1
Ni2 0.0000 0.0000 0.5000 1
Ni3 0.0010 0.5005 0.9169 1
```



No. 4
Computed, not measured: Y3PaNi8 after structural relaxation at the GGA-PBE level of DFT.

Summary:
As for the crystal system: trigonal. For the volume, the calculation gives 185.19 Å³/f.u.

The structure in CIF format:
```
data_Y3PaNi8
_space_group_name_H-M_alt 'R 3 m'
_space_group_IT_number 160
_space_group_name_Hall 'R 3 -2"'
_cell_length_a 5.0813
_cell_length_b 5.0813
_cell_length_c 24.8456
_cell_angle_alpha 90.00
_cell_angle_beta 90.00
_cell_angle_gamma 120.00
loop_
_atom_site_label
_atom_site_fract_x
_atom_site_fract_y
_atom_site_fract_z
_atom_site_occupancy
Y1 0.0000 0.0000 0.0000 1
Y2 0.0000 0.0000 0.1241 1
Y3 0.0000 0.0000 0.6268 1
Pa1 0.0000 0.0000 0.4999 1
Ni1 0.0000 0.0000 0.3130 1
Ni2 0.0000 0.0000 0.8134 1
Ni3 0.0024 0.5012 0.0642 1
Ni4 0.1677 0.3353 0.8950 1
```



No. 5
Computed, not measured: Y2PaNi2 after structural relaxation at the GGA-PBE level of DFT.

Summary:
As for the crystal system: monoclinic. For the volume, the calculation gives 109.82 Å³/f.u.

The structure in CIF format:
```
data_Y2PaNi2
_space_group_name_H-M_alt 'C 1 2/c 1'
_space_group_IT_number 15
_cell_length_a 10.5577
_cell_length_b 6.0316
_cell_length_c 7.0130
_cell_angle_alpha 90.00
_cell_angle_beta 100.38
_cell_angle_gamma 90.00
loop_
_space_group_symop_operation_xyz
'x,y,z'
'-x,-y,-z'
'-x,y,-z+1/2'
'x,-y,z+1/2'
'x+1/2,y+1/2,z'
'-x+1/2,-y+1/2,-z'
'-x+1/2,y+1/2,-z+1/2'
'x+1/2,-y+1/2,z+1/2'
loop_
_atom_site_label
_atom_site_fract_x
_atom_site_fract_y
_atom_site_fract_z
_atom_site_occupancy
Y1 0.1497 0.1088 0.1476 1
Pa1 0.0000 0.4084 0.7500 1
Ni1 0.1467 0.3540 0.5070 1
```



No. 6
Computed, not measured: YPaNi after structural relaxation at the GGA-PBE level of DFT.

Summary:
As for the crystal system: monoclinic. For the volume, the calculation gives 68.23 Å³/f.u. The value obtained for the energy above the most stable polymorph in this dataset is 0.291 kcal/mol of atoms.

The structure in CIF format:
```
data_YPaNi
_space_group_name_H-M_alt 'C 1 2/m 1'
_space_group_IT_number 12
_cell_length_a 13.3435
_cell_length_b 3.4652
_cell_length_c 6.3848
_cell_angle_alpha 90.00
_cell_angle_beta 112.40
_cell_angle_gamma 90.00
loop_
_space_group_symop_operation_xyz
'x,y,z'
'-x,-y,-z'
'-x,y,-z'
'x,-y,z'
'x+1/2,y+1/2,z'
'-x+1/2,-y+1/2,-z'
'-x+1/2,y+1/2,-z'
'x+1/2,-y+1/2,z'
loop_
_atom_site_label
_atom_site_fract_x
_atom_site_fract_y
_atom_site_fract_z
_atom_site_occupancy
Y1 0.0160 0.0000 0.2670 1
Pa1 0.2155 0.5000 0.7060 1
Ni1 0.1344 0.5000 0.0849 1
```



No. 7
Computed, not measured: YPa2Ni6 after structural relaxation at the GGA-PBE level of DFT.

Summary:
As for the crystal system: orthorhombic. For the volume, the calculation gives 152.77 Å³/f.u. The value obtained for the energy above the most stable polymorph in this dataset is 1.178 kcal/mol of atoms.

The structure in CIF format:
```
data_YPa2Ni6
_space_group_name_H-M_alt 'I m m m'
_space_group_IT_number 71
_space_group_name_Hall '-I 2 2'
_cell_length_a 3.4151
_cell_length_b 6.9157
_cell_length_c 12.9367
_cell_angle_alpha 90.00
_cell_angle_beta 90.00
_cell_angle_gamma 90.00
loop_
_atom_site_label
_atom_site_fract_x
_atom_site_fract_y
_atom_site_fract_z
_atom_site_occupancy
Y1 0.0000 0.0000 0.0000 1
Pa1 0.0000 0.5000 0.1443 1
Ni1 0.0000 0.1752 0.5000 1
Ni2 0.0000 0.3061 0.3226 1
```



No. 8
Computed, not measured: YPaNi after structural relaxation at the GGA-PBE level of DFT.

Summary:
As for the crystal system: tetragonal. For the volume, the calculation gives 68.40 Å³/f.u. The value obtained for the energy above the most stable polymorph in this dataset is 0.000 kcal/mol of atoms.

The structure in CIF format:
```
data_YPaNi
_space_group_name_H-M_alt 'I 4 m m'
_space_group_IT_number 107
_space_group_name_Hall 'I 4 -2'
_cell_length_a 3.4842
_cell_length_b 3.4842
_cell_length_c 11.2690
_cell_angle_alpha 90.00
_cell_angle_beta 90.00
_cell_angle_gamma 90.00
loop_
_atom_site_label
_atom_site_fract_x
_atom_site_fract_y
_atom_site_fract_z
_atom_site_occupancy
Y1 0.0000 0.0000 0.0000 1
Pa1 0.0000 0.0000 0.2890 1
Ni1 0.0000 0.0000 0.6901 1
```



No. 9
Computed, not measured: YPa2Ni6 after structural relaxation at the GGA-PBE level of DFT.

Summary:
As for the crystal system: hexagonal. For the volume, the calculation gives 150.60 Å³/f.u. The value obtained for the energy above the most stable polymorph in this dataset is 0.000 kcal/mol of atoms.

The structure in CIF format:
```
data_YPa2Ni6
_space_group_name_H-M_alt 'P 6/m m m'
_space_group_IT_number 191
_space_group_name_Hall '-P 6 2'
_cell_length_a 7.1681
_cell_length_b 7.1681
_cell_length_c 3.3844
_cell_angle_alpha 90.00
_cell_angle_beta 90.00
_cell_angle_gamma 120.00
loop_
_atom_site_label
_atom_site_fract_x
_atom_site_fract_y
_atom_site_fract_z
_atom_site_occupancy
Y1 0.0000 0.0000 0.0000 1
Pa1 0.3333 0.6667 0.0000 1
Ni1 0.0000 0.3375 0.5000 1
```



No. 10
Computed, not measured: Pa3Zn7Ni2 after structural relaxation at the GGA-PBE level of DFT.

Summary:
As for the crystal system: trigonal. For the volume, the calculation gives 204.79 Å³/f.u.

The structure in CIF format:
```
data_Pa3Zn7Ni2
_space_group_name_H-M_alt 'R -3 m'
_space_group_IT_number 166
_space_group_name_Hall '-R 3 2"'
_cell_length_a 5.1696
_cell_length_b 5.1696
_cell_length_c 26.5449
_cell_angle_alpha 90.00
_cell_angle_beta 90.00
_cell_angle_gamma 120.00
loop_
_atom_site_label
_atom_site_fract_x
_atom_site_fract_y
_atom_site_fract_z
_atom_site_occupancy
Pa1 0.0000 0.0000 0.0000 1
Pa2 0.0000 0.0000 0.1532 1
Zn1 0.0000 0.0000 0.5000 1
Zn2 0.0028 0.5014 0.9231 1
Ni1 0.0000 0.0000 0.3348 1
```



No. 11
Computed, not measured: PaZn4Ni after structural relaxation at the GGA-PBE level of DFT.

Summary:
As for the crystal system: monoclinic. For the volume, the calculation gives 100.37 Å³/f.u. The value obtained for the energy above the most stable polymorph in this dataset is 1.359 kcal/mol of atoms.

The structure in CIF format:
```
data_PaZn4Ni
_space_group_name_H-M_alt 'C 1 2/m 1'
_space_group_IT_number 12
_cell_length_a 12.0163
_cell_length_b 6.0647
_cell_length_c 5.9766
_cell_angle_alpha 90.00
_cell_angle_beta 112.81
_cell_angle_gamma 90.00
loop_
_space_group_symop_operation_xyz
'x,y,z'
'-x,-y,-z'
'-x,y,-z'
'x,-y,z'
'x+1/2,y+1/2,z'
'-x+1/2,-y+1/2,-z'
'-x+1/2,y+1/2,-z'
'x+1/2,-y+1/2,z'
loop_
_atom_site_label
_atom_site_fract_x
_atom_site_fract_y
_atom_site_fract_z
_atom_site_occupancy
Pa1 0.1857 0.0000 0.3222 1
Zn1 0.0000 0.2880 0.0000 1
Zn2 0.0954 0.2159 0.7052 1
Zn3 0.2027 0.5000 0.1053 1
Ni1 0.0918 0.5000 0.3997 1
```



No. 12
Computed, not measured: Pa2ZnNi3 after structural relaxation at the GGA-PBE level of DFT.

Summary:
As for the crystal system: orthorhombic. For the volume, the calculation gives 101.28 Å³/f.u. The value obtained for the energy above the most stable polymorph in this dataset is 1.212 kcal/mol of atoms.

The structure in CIF format:
```
data_Pa2ZnNi3
_space_group_name_H-M_alt 'F m m m'
_space_group_IT_number 69
_space_group_name_Hall '-F 2 2'
_cell_length_a 6.3314
_cell_length_b 8.6176
_cell_length_c 14.8508
_cell_angle_alpha 90.00
_cell_angle_beta 90.00
_cell_angle_gamma 90.00
loop_
_atom_site_label
_atom_site_fract_x
_atom_site_fract_y
_atom_site_fract_z
_atom_site_occupancy
Pa1 0.2315 0.0000 0.0000 1
Pa2 0.2500 0.2500 0.2500 1
Zn1 0.0000 0.0000 0.3353 1
Ni1 0.0000 0.0000 0.1697 1
Ni2 0.0000 0.2460 0.4152 1
```



Calculated formation energy (kcal/mol of atoms)
-6.469; 5.928; -9.461; -8.887; -7.755; -2.472; -6.621; -2.762; -7.800; -3.707; -2.715; -7.290
Theoretical density (Mg/m³)
8.002; 7.709; 10.426; 8.674; 7.957; 9.214; 9.817; 9.192; 9.958; 10.285; 9.122; 11.535
VASP energy (Ha/atom)
-0.2539; -0.2497; -0.2524; -0.2443; -0.2622; -0.2703; -0.2561; -0.2707; -0.2580; -0.1559; -0.1291; -0.2420